ThCr2SiO8 (PBE+U, relaxed); total moment = 0.348 μB/atom; V = 11.35 Å³ per atom; E = -7.818 eV/atom; space group = P2/m
1.0
-2.342 1.100 3.807
-0.720 -4.411 1.107
5.476 -0.045 3.381
O Th Si Cr
8 1 1 2
Direct
0.191 0.809 0.802 O
0.809 0.191 0.198 O
0.668 0.669 0.500 O
0.705 0.706 0.000 O
0.332 0.331 0.500 O
0.295 0.294 0.000 O
0.809 0.191 0.802 O
0.191 0.809 0.198 O
0.000 0.000 0.500 Th
0.000 0.000 0.000 Si
0.500 0.500 0.226 Cr
0.500 0.500 0.774 Cr